[1]
HfSbTe2P | PBE-GGA | optimized geometry

abc: 5.177 5.177 5.007
angles: 90.00 90.00 90.00
Fractional positions:
Hf 0.000 0.000 0.000
Sb 0.500 0.500 0.000
Te 0.000 0.500 0.500
Te 0.500 0.000 0.500
P 0.500 0.500 0.500

## Properties
The formation energy without anion corrections is 0.5501 eV per atom. The calculation puts the energy above the most stable polymorph in this dataset at 0 meV per atom. As for the space group: P4/mmm, No. 123.

***

[2]
MgIn2F4 | PBE-GGA | optimized geometry

abc: 5.430 6.692 6.974
angles: 78.56 87.85 87.80
Fractional positions:
Mg 0.250 0.085 0.411
Mg 0.750 0.915 0.589
In 0.239 0.478 0.691
In 0.263 0.806 0.002
In 0.737 0.194 0.998
In 0.761 0.522 0.309
F 0.080 0.814 0.491
F 0.132 0.103 0.137
F 0.364 0.373 0.390
F 0.418 0.018 0.677
F 0.582 0.982 0.323
F 0.636 0.627 0.610
F 0.868 0.897 0.863
F 0.920 0.186 0.509

## Properties
The formation energy without anion corrections is -2.4583 eV per atom. The calculation puts the energy above the most stable polymorph in this dataset at 0 meV per atom. As for the space group: P-1, No. 2.

***

[3]
RbBaAu2 | PBE-GGA | optimized geometry

abc: 7.569 7.569 7.569
angles: 108.21 108.21 112.02
Fractional positions:
Rb 0.000 0.000 0.000
Rb 0.750 0.250 0.500
Ba 0.250 0.750 0.500
Ba 0.500 0.500 0.000
Au 0.142 0.625 0.017
Au 0.375 0.392 0.517
Au 0.608 0.125 0.983
Au 0.875 0.858 0.483

## Properties
The energy of formation comes out at -285.0 meV/atom. The calculation puts the energy above the most stable polymorph in this dataset at 221 meV per atom. As for the space group: I-42d, No. 122.

***

[4]
Tl2CuWS4 | PBE-GGA | optimized geometry

abc: 6.537 6.563 6.668
angles: 94.13 114.96 119.44
Fractional positions:
Tl 0.000 0.000 0.000
Tl 0.475 0.296 0.785
Cu 0.010 0.471 0.574
W 0.486 0.720 0.323
S 0.106 0.522 0.959
S 0.373 0.799 0.580
S 0.602 0.452 0.399
S 0.847 0.076 0.361

## Properties
The formation energy without anion corrections is -0.3493 eV per atom. As for the space group: P1, No. 1.

***

[5]
Li3FeAg | PBE-GGA | optimized geometry

abc: 4.743 4.743 4.743
angles: 90.00 90.00 90.00
Fractional positions:
Li 0.000 0.000 0.500
Li 0.000 0.500 0.000
Li 0.500 0.000 0.000
Fe 0.500 0.500 0.500
Ag 0.000 0.000 0.000

## Properties
The energy of formation comes out at 677.4 meV/atom. The calculation puts the energy above the most stable polymorph in this dataset at 0 meV per atom. As for the space group: Pm-3m, No. 221.

***

[6]
CaPu3O8 | PBE-GGA | optimized geometry

abc: 7.021 7.021 7.021
angles: 58.90 58.90 58.90
Fractional positions:
Ca 0.000 0.000 0.000
Pu 0.000 0.000 0.500
Pu 0.000 0.500 0.000
Pu 0.500 0.000 0.000
O 0.171 0.761 0.761
O 0.226 0.226 0.226
O 0.239 0.239 0.829
O 0.239 0.829 0.239
O 0.761 0.171 0.761
O 0.761 0.761 0.171
O 0.774 0.774 0.774
O 0.829 0.239 0.239

## Properties
The formation energy without anion corrections is -2.7810 eV per atom. As for the space group: R-3m, No. 166.

***

[7]
BaScBi2 | PBE-GGA | optimized geometry

abc: 9.791 9.791 9.791
angles: 140.69 140.69 56.80
Fractional positions:
Ba 0.000 0.000 0.000
Ba 0.750 0.250 0.500
Sc 0.250 0.750 0.500
Sc 0.500 0.500 0.000
Bi 0.244 0.625 0.119
Bi 0.375 0.494 0.619
Bi 0.506 0.125 0.881
Bi 0.875 0.756 0.381

## Properties
The energy of formation comes out at -350.1 meV/atom. The calculation puts the energy above the most stable polymorph in this dataset at 340 meV per atom. As for the space group: I-42d, No. 122.

***

[8]
Mn2AlRe | PBE-GGA | optimized geometry

abc: 4.399 4.399 2.795
angles: 90.00 90.00 103.32
Fractional positions:
Mn 0.000 0.500 0.000
Mn 0.500 0.000 0.000
Al 0.000 0.000 0.500
Re 0.500 0.500 0.500

## Properties
The energy of formation comes out at -69.6 meV/atom. As for the space group: Cmmm, No. 65.

***

[9]
Ti2WN | PBE-GGA | optimized geometry

abc: 2.665 2.665 7.230
angles: 90.00 90.00 90.00
Fractional positions:
Ti 0.000 0.000 0.176
Ti 0.000 0.000 0.824
W 0.500 0.500 0.500
N 0.500 0.500 0.000

## Properties
The formation energy without anion corrections is -0.3962 eV per atom. As for the space group: P4/mmm, No. 123.

***

[10]
SmTlPb | PBE-GGA | optimized geometry

abc: 9.324 9.324 9.324
angles: 159.20 159.20 29.58
Fractional positions:
Sm 0.000 0.000 0.000
Tl 0.179 0.179 0.000
Pb 0.820 0.820 0.000

## Properties
The energy of formation comes out at 224.1 meV/atom. The calculation puts the energy above the most stable polymorph in this dataset at 573 meV per atom. As for the space group: I4mm, No. 107.

***

[11]
HoNp2Pt9 | PBE-GGA | optimized geometry

abc: 4.136 4.136 12.434
angles: 90.00 90.00 90.00
Fractional positions:
Ho 0.000 0.000 0.000
Np 0.000 0.000 0.332
Np 0.000 0.000 0.668
Pt 0.000 0.500 0.167
Pt 0.000 0.500 0.500
Pt 0.000 0.500 0.833
Pt 0.500 0.000 0.167
Pt 0.500 0.000 0.500
Pt 0.500 0.000 0.833
Pt 0.500 0.500 0.000
Pt 0.500 0.500 0.333
Pt 0.500 0.500 0.667

## Properties
The energy of formation comes out at -765.4 meV/atom. As for the space group: P4/mmm, No. 123.

***

[12]
Be2HgP | PBE-GGA | optimized geometry

abc: 4.220 4.220 3.796
angles: 106.78 106.78 83.27
Fractional positions:
Be 0.000 0.500 0.000
Be 0.500 0.000 0.000
Hg 0.000 0.000 0.500
P 0.500 0.500 0.500

## Properties
The energy of formation comes out at 570.9 meV/atom. The calculation puts the energy above the most stable polymorph in this dataset at 449 meV per atom. As for the space group: C2/m, No. 12.